Entry 1:
A plane-wave DFT calculation with GGA-PBE was carried out for a relaxed PmSc2Br crystal.

Computed properties:
Uncorrected energy   -19.64 eV/f.u.
Formation energy without anion corrections   -0.138 eV/atom

```
data_PmSc2Br
_chemical_formula_sum 'Pm1 Sc2 Br1'
_symmetry_space_group_name_H-M 'P 1'
_symmetry_Int_Tables_number 1
_symmetry_space_group_name_Hall 'P 1'
_cell_length_a 10.9036
_cell_length_b 10.9036
_cell_length_c 10.9036
_cell_angle_alpha 17.81
_cell_angle_beta 17.81
_cell_angle_gamma 17.81
loop_
_atom_site_label
_atom_site_fract_x
_atom_site_fract_y
_atom_site_fract_z
_atom_site_occupancy
Pm1 0.0000 0.0000 0.0000 1
Sc1 0.0992 0.0992 0.0992 1
Sc2 0.9008 0.9008 0.9008 1
Br1 0.5000 0.5000 0.5000 1
```


Entry 2:
A plane-wave DFT calculation with GGA-PBE was carried out for a relaxed PmSc2Br6 crystal.

Computed properties:
Uncorrected energy   -41.55 eV/f.u.
Formation energy without anion corrections   -1.566 eV/atom

```
data_PmSc2Br6
_chemical_formula_sum 'Pm1 Sc2 Br6'
_symmetry_space_group_name_H-M 'P 1'
_symmetry_Int_Tables_number 1
_symmetry_space_group_name_Hall 'P 1'
_cell_length_a 8.0208
_cell_length_b 8.0208
_cell_length_c 10.7150
_cell_angle_alpha 116.14
_cell_angle_beta 116.14
_cell_angle_gamma 27.64
loop_
_atom_site_label
_atom_site_fract_x
_atom_site_fract_y
_atom_site_fract_z
_atom_site_occupancy
Pm1 0.0000 0.0000 0.0000 1
Sc1 0.3444 0.3444 0.6868 1
Sc2 0.6556 0.6556 0.3132 1
Br1 0.0247 0.0247 0.2909 1
Br2 0.2995 0.2995 0.3984 1
Br3 0.3404 0.3404 0.9350 1
Br4 0.6596 0.6596 0.0650 1
Br5 0.7005 0.7005 0.6016 1
Br6 0.9753 0.9753 0.7091 1
```